## OsRuCl3 (GGA-PBE)

Data for a geometry-optimized OsRuCl3 structure.

Properties
Energy = -0.146 hartree per atom
Formation energy without anion corrections = 1230 meV per atom
Fermi-level density of states = 1.4628 states/eV per atom
Calculated density = 6.04 g/cm³
Energy above the lowest structure with this stoichiometry = 0.70 eV/f.u.
Space group = No. 221

```
OsRuCl3
1.0
-2.003 -3.736 -2.214
3.384 0.186 -3.374
2.722 -2.980 2.566
Cl Os Ru
3 1 1
Direct
0.000 0.500 0.000 Cl
0.000 0.000 0.500 Cl
0.500 0.000 0.000 Cl
0.500 0.500 0.500 Os
0.000 0.000 0.000 Ru
```